[1]
Compound: PaCu12
Source: Alexandria
Functional: PBE-GGA
Structure: optimized geometry

abc: 6.457 6.457 6.457
angles: 98.09 98.09 135.92
Fractional coordinates of all 13 atoms:
1 Pa 0.000 0.000 0.000
2 Cu 0.000 0.000 0.500
3 Cu 0.000 0.354 0.354
4 Cu 0.000 0.500 0.000
5 Cu 0.000 0.646 0.646
6 Cu 0.281 0.500 0.781
7 Cu 0.354 0.000 0.354
8 Cu 0.500 0.000 0.000
9 Cu 0.500 0.281 0.781
10 Cu 0.500 0.500 0.500
11 Cu 0.500 0.719 0.219
12 Cu 0.646 0.000 0.646
13 Cu 0.719 0.500 0.219

Values from the calculation:
DOS at the Fermi energy: 0.441 states/eV per atom
E_form: 0.002 eV per atom

---

[2]
Compound: K2Hg2S3
Source: Alexandria
Functional: PBE-GGA
Structure: optimized geometry

abc: 7.607 7.607 7.568
angles: 116.45 116.45 33.30
Fractional coordinates of all 7 atoms:
1 K 0.095 0.095 0.338
2 K 0.905 0.905 0.662
3 Hg 0.321 0.321 0.200
4 Hg 0.679 0.679 0.800
5 S 0.290 0.290 0.824
6 S 0.500 0.500 0.500
7 S 0.710 0.710 0.176

Values from the calculation:
Offset from the most stable computed form: 36 meV/atom
Energy relative to the elements, uncorrected: -0.592 eV per atom

---

[3]
Compound: La6CdCo2
Source: Alexandria
Functional: PBE-GGA
Structure: optimized geometry

abc: 5.956 5.956 9.246
angles: 98.01 98.01 52.22
Fractional coordinates of all 9 atoms:
1 La 0.084 0.084 0.362
2 La 0.303 0.303 0.878
3 La 0.391 0.391 0.336
4 La 0.609 0.609 0.664
5 La 0.697 0.697 0.122
6 La 0.916 0.916 0.638
7 Cd 0.000 0.000 0.000
8 Co 0.262 0.262 0.619
9 Co 0.738 0.738 0.381

Values from the calculation:
Offset from the most stable computed form: 39 meV/atom
DOS at the Fermi energy: 1.114 states/eV per atom
E_form: -0.129 eV per atom

---

[4]
Compound: LaTb2Pm6Ho3
Source: Alexandria
Functional: PBE-GGA
Structure: optimized geometry

abc: 6.269 6.269 11.947
angles: 95.02 95.02 120.00
Fractional coordinates of all 12 atoms:
1 La 0.000 0.000 0.000
2 Tb 0.333 0.667 0.000
3 Tb 0.667 0.333 0.000
4 Pm 0.085 0.419 0.253
5 Pm 0.249 0.249 0.747
6 Pm 0.419 0.085 0.253
7 Pm 0.581 0.915 0.747
8 Pm 0.751 0.751 0.253
9 Pm 0.915 0.581 0.747
10 Ho 0.167 0.833 0.500
11 Ho 0.500 0.500 0.500
12 Ho 0.833 0.167 0.500

Values from the calculation:
DOS at the Fermi energy: 1.327 states/eV per atom
E_form: 0.018 eV per atom

---

[5]
Compound: Rb3PmPr2O6
Source: Alexandria
Functional: PBE-GGA
Structure: optimized geometry

abc: 6.378 6.378 6.950
angles: 98.80 98.80 120.00
Fractional coordinates of all 12 atoms:
1 Rb 0.000 0.000 0.000
2 Rb 0.334 0.666 0.000
3 Rb 0.666 0.334 0.000
4 Pm 0.500 0.500 0.500
5 Pr 0.167 0.833 0.500
6 Pr 0.833 0.167 0.500
7 O 0.111 0.440 0.319
8 O 0.231 0.231 0.681
9 O 0.440 0.111 0.319
10 O 0.560 0.889 0.681
11 O 0.769 0.769 0.319
12 O 0.889 0.560 0.681

Values from the calculation:
DOS at the Fermi energy: 0.000 states/eV per atom
Energy relative to the elements, uncorrected: -2.546 eV per atom

---

[6]
Compound: Pm6Pr8Dy
Source: Alexandria
Functional: PBE-GGA
Structure: optimized geometry

abc: 8.392 8.392 8.392
angles: 73.32 73.32 73.32
Fractional coordinates of all 15 atoms:
1 Pm 0.110 0.783 0.580
2 Pm 0.217 0.420 0.890
3 Pm 0.420 0.890 0.217
4 Pm 0.580 0.110 0.783
5 Pm 0.783 0.580 0.110
6 Pm 0.890 0.217 0.420
7 Pr 0.086 0.086 0.086
8 Pr 0.146 0.570 0.274
9 Pr 0.274 0.146 0.570
10 Pr 0.430 0.726 0.854
11 Pr 0.570 0.274 0.146
12 Pr 0.726 0.854 0.430
13 Pr 0.854 0.430 0.726
14 Pr 0.914 0.914 0.914
15 Dy 0.500 0.500 0.500

Values from the calculation:
Offset from the most stable computed form: 37 meV/atom
DOS at the Fermi energy: 1.500 states/eV per atom
E_form: 0.148 eV per atom

---

Energy / eV per atom: -4.509, -2.761, -5.095, -4.684, -6.459, -4.608